# 1
A plane-wave DFT calculation with PBE-GGA was carried out for CuGe2Au after structural relaxation.

Cell lengths 4.028, 4.028, 5.673 Å; angles 69.20, 69.20, 60.00 degrees
Sites, in units of the cell vectors:
Cu (0.671, 0.671, 0.987)
Au (0.496, 0.496, 0.512)
Ge (0.262, 0.262, 0.213)
Ge (0.071, 0.071, 0.788)

Properties
- formation enthalpy at 0 K (eV/atom) = 0.14
- offset from the most stable computed form (meV/atom) = 0

# 2
A plane-wave DFT calculation with PBE-GGA was carried out for MoPIr2 after structural relaxation.

Cell lengths 5.439, 5.439, 3.842 Å; angles 90.00, 90.00, 149.61 degrees
Sites, in units of the cell vectors:
Ir (0.178, 0.822, 0.500)
Ir (0.822, 0.178, 0.000)
Mo (0.554, 0.446, 0.000)
P (0.951, 0.049, 0.500)

Properties
- formation enthalpy at 0 K (eV/atom) = -0.26

# 3
A plane-wave DFT calculation with PBE-GGA was carried out for Na2In5Bi4 after structural relaxation.

Cell lengths 6.096, 6.838, 10.810 Å; angles 82.78, 73.62, 63.53 degrees
Sites, in units of the cell vectors:
In (0.000, 0.500, 0.000)
In (0.500, 0.500, 0.000)
Na (0.179, 0.000, 0.641)
In (0.750, 0.500, 0.500)
In (0.250, 0.500, 0.500)
Na (0.821, 0.000, 0.359)
Bi (0.233, 0.257, 0.278)
Bi (0.510, 0.257, 0.722)
Bi (0.490, 0.743, 0.278)
Bi (0.767, 0.743, 0.722)
In (0.500, 0.000, 0.000)

Properties
- formation enthalpy at 0 K (eV/atom) = 0.00

# 4
A plane-wave DFT calculation with PBE-GGA was carried out for DyHoCBr after structural relaxation.

Cell lengths 3.668, 3.668, 7.421 Å; angles 90.00, 104.30, 120.00 degrees
Sites, in units of the cell vectors:
Ho (0.088, 0.942, 0.046)
Dy (0.516, 0.156, 0.687)
C (0.307, 0.551, 0.874)
Br (0.966, 0.381, 0.363)

Properties
- uncorrected formation energy (eV per atom) = -0.949

Calculated density (g/cm³)
9.3 14.8 6.2 8.4
Total energy (eV per atom)
-4.01 -8.75 -2.89 -5.97